# AcCe2Ge2Pd2, relaxed, DFT PBE-GGA
# * mass density: 8.92 g/cm3
# * electronic total energy: -5.877 eV per atom
# * DFT formation energy: -791 meV/atom
data_AcCe2Ge2Pd2
_space_group_name_H-M_alt 'R -3 m'
_space_group_IT_number 166
_space_group_name_Hall '-R 3 2"'
_cell_length_a 4.5131
_cell_length_b 4.5131
_cell_length_c 27.3948
_cell_angle_alpha 90.00
_cell_angle_beta 90.00
_cell_angle_gamma 120.00
loop_
_atom_site_label
_atom_site_fract_x
_atom_site_fract_y
_atom_site_fract_z
Ac1 0.0000 0.0000 0.0000
Ce1 0.0000 0.0000 0.1408
Ge1 0.0000 0.0000 0.2564
Pd1 0.0000 0.0000 0.4209